Material: MnAs2O
Method: DFT, PBE+U
State: optimized geometry

Fermi-level density of states = 1.41 states/eV/cell
M_tot = 9.9 μB/cell
space-group type = I-42d, No. 122
total DFT energy (no corrections) = -5.339 eV per atom

Cell: 7.626 7.626 7.626 Å, 142.80 142.80 53.62°
Fractional positions:
Mn (0.000, 0.000, 0.000)
Mn (0.750, 0.250, 0.500)
As (0.270, 0.625, 0.145)
As (0.375, 0.520, 0.645)
As (0.480, 0.125, 0.855)
As (0.875, 0.730, 0.355)
O (0.250, 0.750, 0.500)
O (0.500, 0.500, 0.000)